# 1
First-principles (PBEsol) data for Lu2ZnCu after structural relaxation, as listed in Alexandria.

Summary:
Total magnetic moment   0.00 Bohr magnetons per cell
Electronic total energy   -4.231 eV per atom

a = 4.7776 Å, b = 4.7776 Å, c = 4.7776 Å
α = 60.00°, β = 60.00°, γ = 60.00°
Last column: nearest neighbours and their distance in Å.
Atoms (fractional coordinates):
Lu: 0.7500 0.7500 0.7500  4 Cu 2.93, 4 Zn 2.93
Lu: 0.2500 0.2500 0.2500  4 Cu 2.93, 4 Zn 2.93
Zn: 0.0000 0.0000 0.0000  8 Lu 2.93
Cu: 0.5000 0.5000 0.5000  8 Lu 2.93

***

# 2
First-principles (PBEsol) data for Mg7Zn after structural relaxation, as listed in Alexandria.

Summary:
Total magnetic moment   0.00 Bohr magnetons per cell
Electronic total energy   -1.682 eV per atom

a = 6.2202 Å, b = 6.2202 Å, c = 6.2202 Å
α = 60.00°, β = 60.00°, γ = 60.00°
Last column: nearest neighbours and their distance in Å.
Atoms (fractional coordinates):
Mg: 0.0000 0.5000 0.0000  10 Mg 3.11, 2 Zn 3.11
Mg: 0.5000 0.0000 0.0000  10 Mg 3.11, 2 Zn 3.11
Mg: 0.5000 0.5000 0.5000  12 Mg 3.11
Mg: 0.0000 0.5000 0.5000  10 Mg 3.11, 2 Zn 3.11
Mg: 0.5000 0.0000 0.5000  10 Mg 3.11, 2 Zn 3.11
Mg: 0.5000 0.5000 0.0000  2 Zn 3.11, 10 Mg 3.11
Mg: 0.0000 0.0000 0.5000  10 Mg 3.11, 2 Zn 3.11
Zn: 0.0000 0.0000 0.0000  12 Mg 3.11

***

# 3
First-principles (PBEsol) data for ReTcN3 after structural relaxation, as listed in Alexandria.

Summary:
Total magnetic moment   2.07 Bohr magnetons per cell
Electronic total energy   -8.595 eV per atom
Raw formation energy   1.4408 eV/atom

a = 3.8039 Å, b = 3.8039 Å, c = 3.8039 Å
α = 90.00°, β = 90.00°, γ = 90.00°
Last column: nearest neighbours and their distance in Å.
Atoms (fractional coordinates):
Tc: 0.0000 0.0000 0.0000  6 N 1.90
N: 0.0000 0.5000 0.0000  2 Tc 1.90
N: 0.0000 0.0000 0.5000  2 Tc 1.90
N: 0.5000 0.0000 0.0000  2 Tc 1.90
Re: 0.5000 0.5000 0.5000  12 N 2.69

***

# 4
First-principles (PBEsol) data for ZnSb2TeI after structural relaxation, as listed in Alexandria.

Summary:
Total magnetic moment   1.05 Bohr magnetons per cell
Electronic total energy   -2.354 eV per atom
Raw formation energy   0.8435 eV/atom

a = 5.7110 Å, b = 5.7110 Å, c = 5.9693 Å
α = 90.00°, β = 90.00°, γ = 90.00°
Last column: nearest neighbours and their distance in Å.
Atoms (fractional coordinates):
I: 0.0000 0.0000 0.5000  2 Te 2.98
Sb: 0.5000 0.0000 0.0000  2 Te 2.86
Sb: 0.0000 0.5000 0.0000  2 Te 2.86
Te: 0.0000 0.0000 0.0000  4 Sb 2.86, 2 I 2.98
Zn: 0.5000 0.5000 0.5000  4 I 4.04, 8 Sb 4.13

***

# 5
First-principles (PBEsol) data for Cr2N after structural relaxation, as listed in Alexandria.

Summary:
Total magnetic moment   0.00 Bohr magnetons per cell
Electronic total energy   -10.228 eV per atom
Raw formation energy   -0.5579 eV/atom

a = 4.3561 Å, b = 4.7215 Å, c = 4.7215 Å
α = 120.00°, β = 90.00°, γ = 90.00°
Last column: nearest neighbours and their distance in Å.
Atoms (fractional coordinates):
Cr: 0.7465 0.3261 0.0000  3 N 1.89-1.92
Cr: 0.2535 0.0000 0.6739  3 N 1.89-1.92
Cr: 0.7465 0.0000 0.3261  3 N 1.89-1.92
Cr: 0.7465 0.6739 0.6739  3 N 1.89-1.92
Cr: 0.2535 0.3261 0.3261  3 N 1.89-1.92
Cr: 0.2535 0.6739 0.0000  3 N 1.89-1.92
N: 0.5000 0.3333 0.6667  6 Cr 1.92
N: 0.5000 0.6667 0.3333  6 Cr 1.92
N: 0.0000 0.0000 0.0000  6 Cr 1.89

***

# 6
First-principles (PBEsol) data for FeHg2Rh after structural relaxation, as listed in Alexandria.

Summary:
Total magnetic moment   2.90 Bohr magnetons per cell
Electronic total energy   -4.267 eV per atom

a = 2.9778 Å, b = 3.7067 Å, c = 5.8258 Å
α = 90.00°, β = 90.00°, γ = 90.00°
Last column: nearest neighbours and their distance in Å.
Atoms (fractional coordinates):
Rh: 0.5000 0.5000 0.0000  8 Hg 2.80, 2 Fe 2.91, 2 Rh 2.98
Hg: 0.0000 0.0000 0.7475  4 Fe 2.78, 4 Rh 2.80, 4 Hg 2.88-2.98
Hg: 0.0000 0.0000 0.2525  4 Fe 2.78, 4 Rh 2.80, 4 Hg 2.88-2.98
Fe: 0.5000 0.5000 0.5000  8 Hg 2.78, 2 Rh 2.91, 2 Fe 2.98

***

# 7
First-principles (PBEsol) data for CsCaIr3 after structural relaxation, as listed in Alexandria.

Summary:
Total magnetic moment   0.02 Bohr magnetons per cell
Electronic total energy   -4.179 eV per atom

a = 4.9675 Å, b = 4.9675 Å, c = 4.9675 Å
α = 90.00°, β = 90.00°, γ = 90.00°
Last column: nearest neighbours and their distance in Å.
Atoms (fractional coordinates):
Ir: 0.0000 0.0000 0.5000  2 Cs 2.48
Ir: 0.5000 0.0000 0.0000  2 Cs 2.48
Ir: 0.0000 0.5000 0.0000  2 Cs 2.48
Ca: 0.5000 0.5000 0.5000  12 Ir 3.51
Cs: 0.0000 0.0000 0.0000  6 Ir 2.48

***

# 8
First-principles (PBEsol) data for Dy2CN2O2 after structural relaxation, as listed in Alexandria.

Summary:
Total magnetic moment   0.00 Bohr magnetons per cell
Electronic total energy   -8.997 eV per atom
Raw formation energy   -2.2605 eV/atom

a = 3.6867 Å, b = 3.6867 Å, c = 8.1085 Å
α = 90.00°, β = 90.00°, γ = 120.00°
Last column: nearest neighbours and their distance in Å.
Atoms (fractional coordinates):
N: 0.0000 0.0000 0.6522  1 C 1.23
N: 0.0000 0.0000 0.3478  1 C 1.23
O: 0.6667 0.3333 0.1023  4 Dy 2.21-2.26
O: 0.3333 0.6667 0.8977  4 Dy 2.21-2.26
Dy: 0.3333 0.6667 0.1768  4 O 2.21-2.26
Dy: 0.6667 0.3333 0.8232  4 O 2.21-2.26
C: 0.0000 0.0000 0.5000  2 N 1.23